The following is a DFT calculation (GGA+U) of a geometry-optimized VGeN2F structure.

Properties
**Final energy**: -29.74 eV/cell
**Crystal system**: tetragonal
**Polymorph energy (0 for the lowest one)**: 192 meV per atom
**M_tot**: 2.5 Bohr magnetons per cell

CIF file:
```
data_VGeN2F
_space_group_name_H-M_alt 'P 1'
_space_group_IT_number 1
_cell_length_a 3.815
_cell_length_b 3.815
_cell_length_c 3.778
_cell_angle_alpha 90.00
_cell_angle_beta 90.00
_cell_angle_gamma 90.00
loop_
_space_group_symop_operation_xyz
'x,y,z'
loop_
_atom_site_label
_atom_site_fract_x
_atom_site_fract_y
_atom_site_fract_z
_atom_site_occupancy
V1 0.000 0.000 0.000 1
Ge1 0.500 0.500 0.500 1
N1 0.000 0.500 0.500 1
N2 0.500 0.000 0.500 1
F1 0.500 0.500 0.000 1
```